--- one ---
The following is a DFT calculation (GGA-PBE) of an optimized crystal structure of YRe3Pt.

## Properties
Density of states at the Fermi level ... 5.0 states/eV/f.u.

Cell: 4.7993 4.7993 4.7993 Å, 90.00 90.00 90.00°
With the nearest neighbours (Å) after each atom.
Atoms (fractional coordinates):
Y 0.0000 0.0000 0.0000  12 Re 3.39
Re 0.0000 0.5000 0.5000  2 Pt 2.40
Re 0.5000 0.0000 0.5000  2 Pt 2.40
Re 0.5000 0.5000 0.0000  2 Pt 2.40
Pt 0.5000 0.5000 0.5000  6 Re 2.40

--- two ---
The following is a DFT calculation (GGA-PBE) of an optimized crystal structure of YRe3Pt.

## Properties
Density of states at the Fermi level ... 6.4 states/eV/f.u.

Cell: 4.7159 4.7159 4.7159 Å, 90.00 90.00 90.00°
With the nearest neighbours (Å) after each atom.
Atoms (fractional coordinates):
Y 0.0000 0.0000 0.0000  6 Re 2.36
Re 0.0000 0.0000 0.5000  2 Y 2.36
Re 0.0000 0.5000 0.0000  2 Y 2.36
Re 0.5000 0.0000 0.0000  2 Y 2.36
Pt 0.5000 0.5000 0.5000  12 Re 3.33

one takes first place; second place is 1460 meV per atom up.

--- one ---
The following is a DFT calculation (GGA-PBE) of an optimized crystal structure of Y2RePt.

## Properties
Density of states at the Fermi level ... 5.2 states/eV/f.u.

Cell: 6.8240 6.8240 6.8240 Å, 90.00 90.00 90.00°
With the nearest neighbours (Å) after each atom.
Atoms (fractional coordinates):
Y 0.0000 0.0000 0.0000  4 Re 2.95, 4 Y 2.95
Y 0.0000 0.5000 0.5000  4 Re 2.95, 4 Y 2.95
Y 0.2500 0.2500 0.2500  4 Pt 2.95, 4 Y 2.95
Y 0.2500 0.7500 0.7500  4 Pt 2.95, 4 Y 2.95
Y 0.5000 0.0000 0.5000  4 Re 2.95, 4 Y 2.95
Y 0.5000 0.5000 0.0000  4 Re 2.95, 4 Y 2.95
Y 0.7500 0.2500 0.7500  4 Pt 2.95, 4 Y 2.95
Y 0.7500 0.7500 0.2500  4 Pt 2.95, 4 Y 2.95
Re 0.2500 0.2500 0.7500  4 Pt 2.95, 4 Y 2.95
Re 0.2500 0.7500 0.2500  4 Pt 2.95, 4 Y 2.95
Re 0.7500 0.2500 0.2500  4 Pt 2.95, 4 Y 2.95
Re 0.7500 0.7500 0.7500  4 Pt 2.95, 4 Y 2.95
Pt 0.0000 0.0000 0.5000  4 Re 2.95, 4 Y 2.95
Pt 0.0000 0.5000 0.0000  4 Re 2.95, 4 Y 2.95
Pt 0.5000 0.0000 0.0000  4 Re 2.95, 4 Y 2.95
Pt 0.5000 0.5000 0.5000  4 Re 2.95, 4 Y 2.95

--- two ---
The following is a DFT calculation (GGA-PBE) of an optimized crystal structure of Y2RePt.

## Properties
Density of states at the Fermi level ... 2.7 states/eV/f.u.

Cell: 3.0711 4.8019 5.8510 Å, 90.00 90.00 90.00°
With the nearest neighbours (Å) after each atom.
Atoms (fractional coordinates):
Y 0.0000 0.0000 0.0000  2 Pt 2.88-2.97, 4 Re 2.97, 2 Y 3.07
Y 0.5000 0.5000 0.3653  2 Re 2.89-2.96, 4 Pt 2.97, 2 Y 3.07
Re 0.5000 0.5000 0.8588  6 Y 2.89-2.97, 2 Re 3.07
Pt 0.0000 0.0000 0.5075  6 Y 2.88-2.97, 2 Pt 3.07

--- three ---
The following is a DFT calculation (GGA-PBE) of an optimized crystal structure of Y2RePt.

## Properties
Density of states at the Fermi level ... 4.4 states/eV/f.u.

Cell: 11.2283 3.0362 5.1616 Å, 90.00 105.79 90.00°
With the nearest neighbours (Å) after each atom.
Atoms (fractional coordinates):
Y 0.0000 0.0000 0.0000  4 Y 3.04-3.40, 4 Pt 3.05-3.09, 3 Re 3.11-3.12
Y 0.1954 0.0000 0.6313  4 Re 3.02-3.08, 3 Y 3.04-3.27, 3 Pt 3.06-3.18
Y 0.5000 0.5000 0.0000  4 Y 3.04-3.40, 4 Pt 3.05-3.09, 3 Re 3.11-3.12
Y 0.6954 0.5000 0.6313  4 Re 3.02-3.08, 3 Y 3.04-3.27, 3 Pt 3.06-3.18
Re 0.2509 0.5000 0.1575  2 Pt 2.72, 2 Y 3.02, 2 Re 3.04
Re 0.7509 0.0000 0.1575  2 Pt 2.72, 2 Y 3.02, 2 Re 3.04
Pt 0.4370 0.0000 0.4670  2 Re 2.72, 2 Pt 3.04
Pt 0.9370 0.5000 0.4670  2 Re 2.72, 2 Pt 3.04

three takes first place; second place is 180 meV per atom up.

--- one ---
The following is a DFT calculation (GGA-PBE) of an optimized crystal structure of ZrRePt.

## Properties
Density of states at the Fermi level ... 2.7 states/eV/f.u.

Cell: 2.8337 2.8337 12.7795 Å, 90.00 90.00 90.00°
With the nearest neighbours (Å) after each atom.
Atoms (fractional coordinates):
Zr 0.0000 0.0000 0.0000  4 Zr 2.83, 4 Re 3.01, 4 Pt 3.02
Zr 0.5000 0.5000 0.5000  4 Zr 2.83, 4 Re 3.01, 4 Pt 3.02
Re 0.0000 0.0000 0.6761  4 Pt 2.74, 4 Re 2.83, 4 Zr 3.01
Re 0.5000 0.5000 0.1761  4 Pt 2.74, 4 Re 2.83, 4 Zr 3.01
Pt 0.0000 0.0000 0.3228  4 Re 2.74, 4 Pt 2.83, 4 Zr 3.02
Pt 0.5000 0.5000 0.8228  4 Re 2.74, 4 Pt 2.83, 4 Zr 3.02

--- two ---
The following is a DFT calculation (GGA-PBE) of an optimized crystal structure of ZrRePt.

## Properties
Density of states at the Fermi level ... 4.4 states/eV/f.u.

Cell: 3.4251 3.4251 8.9554 Å, 90.00 90.00 90.00°
With the nearest neighbours (Å) after each atom.
Atoms (fractional coordinates):
Zr 0.0000 0.0000 0.0000  5 Re 2.84-2.99, 5 Pt 2.88-2.92
Zr 0.5000 0.5000 0.5000  5 Re 2.84-2.99, 5 Pt 2.88-2.92
Re 0.0000 0.0000 0.6662  5 Pt 2.81-3.04, 5 Zr 2.84-2.99
Re 0.5000 0.5000 0.1662  5 Pt 2.81-3.04, 5 Zr 2.84-2.99
Pt 0.0000 0.0000 0.3264  5 Re 2.81-3.04, 5 Zr 2.88-2.92
Pt 0.5000 0.5000 0.8264  5 Re 2.81-3.04, 5 Zr 2.88-2.92

--- three ---
The following is a DFT calculation (GGA-PBE) of an optimized crystal structure of ZrRePt.

## Properties
Density of states at the Fermi level ... 4.5 states/eV/f.u.

Cell: 6.2416 6.2416 6.2416 Å, 90.00 90.00 90.00°
With the nearest neighbours (Å) after each atom.
Atoms (fractional coordinates):
Zr 0.0000 0.0000 0.0000  4 Pt 2.70
Zr 0.0000 0.5000 0.5000  4 Pt 2.70
Zr 0.5000 0.0000 0.5000  4 Pt 2.70
Zr 0.5000 0.5000 0.0000  4 Pt 2.70
Re 0.0000 0.0000 0.5000  4 Pt 2.70
Re 0.0000 0.5000 0.0000  4 Pt 2.70
Re 0.5000 0.0000 0.0000  4 Pt 2.70
Re 0.5000 0.5000 0.5000  4 Pt 2.70
Pt 0.2500 0.2500 0.7500  4 Zr 2.70, 4 Re 2.70
Pt 0.2500 0.7500 0.2500  4 Zr 2.70, 4 Re 2.70
Pt 0.7500 0.2500 0.2500  4 Zr 2.70, 4 Re 2.70
Pt 0.7500 0.7500 0.7500  4 Zr 2.70, 4 Re 2.70

one takes first place; second place is 137 meV per atom up.